i) DFT (PBE with a Hubbard U) results for a relaxed structure of TlVF3.

a = 7.5684 Å, b = 7.5684 Å, c = 7.5684 Å
α = 44.37°, β = 44.37°, γ = 44.37°
Last column: magnetic moment on the atom in μB.
Positions (direct):
V1 0.8337 0.8337 0.8337  2.76
V2 0.1663 0.1663 0.1663  2.76
F1 0.4456 0.0758 0.8127  0.01
F2 0.1873 0.5544 0.9242  0.01
F3 0.5544 0.9242 0.1873  0.01
F4 0.0758 0.8127 0.4456  0.01
F5 0.9242 0.1873 0.5544  0.01
F6 0.8127 0.4456 0.0758  0.01
Tl1 0.3762 0.3762 0.3762  0.00
Tl2 0.6238 0.6238 0.6238  0.00

Output
- total magnetic moment (μB/cell) = 6.00
- space group = No. 148

ii) DFT (PBE with a Hubbard U) results for a relaxed structure of TlVF3.

a = 8.7758 Å, b = 8.7758 Å, c = 5.1596 Å
α = 90.00°, β = 90.00°, γ = 140.71°
Last column: magnetic moment on the atom in μB.
Positions (direct):
V1 0.9064 0.0936 0.7500  2.69
V2 0.0936 0.9064 0.2500  2.69
F1 0.9551 0.5880 0.2500  0.00
F2 0.0449 0.4120 0.7500  0.00
F3 0.4120 0.0449 0.2500  0.00
F4 0.0000 0.0000 0.5000  0.01
F5 0.0000 0.0000 0.0000  0.01
F6 0.5880 0.9551 0.7500  0.00
Tl1 0.6832 0.3168 0.7500  0.01
Tl2 0.3168 0.6832 0.2500  0.01

Output
- total magnetic moment (μB/cell) = 6.00
- space group = No. 63

Which structure is most stable? i), by 0.239 eV/atom over the runner-up.